Compound: ZnAs2P
Source: Alexandria via LeMat-Bulk
Functional: PBE
Structure: relaxed

POSCAR file:
```
ZnAs2P
1.0
-1.3944 2.2888 -1.0966
-2.5353 -1.1992 0.7208
0.3409 3.8532 7.6091
Zn As P
1 2 1
direct
0.5000 0.5000 0.7275 Zn
0.0000 0.0000 0.9584 As
0.5000 0.5000 0.3018 As
0.0000 0.0000 0.5123 P
```

## Properties
The calculation puts the spin magnetization at 0.00 μB per cell. The value obtained for the raw total energy is -3.551 eV/atom. For the energy relative to the elements, the calculation gives 445 meV/atom. The energy above the most stable polymorph in this dataset is 380 meV/atom.

***

Compound: ZnAs2P
Source: Alexandria via LeMat-Bulk
Functional: PBE
Structure: relaxed

POSCAR file:
```
ZnAs2P
1.0
-0.6887 0.2546 3.6028
-2.2921 -1.3498 -0.3428
2.7807 -6.8432 1.0153
Zn As P
1 2 1
direct
0.5000 0.0000 0.0000 Zn
0.0000 0.0899 0.2580 As
0.0000 0.9101 0.7420 As
0.5000 0.0000 0.5000 P
```

## Properties
The calculation puts the spin magnetization at 0.00 μB per cell. The value obtained for the raw total energy is -3.833 eV/atom. For the energy relative to the elements, the calculation gives 162 meV/atom. The energy above the most stable polymorph in this dataset is 98 meV/atom.

***

Compound: ZnAs2P
Source: Alexandria via LeMat-Bulk
Functional: PBE
Structure: relaxed

POSCAR file:
```
ZnAs2P
1.0
4.7597 -0.6509 4.2049
4.8687 2.5941 3.2135
0.0471 1.6409 5.3761
Zn As P
1 2 1
direct
0.2026 0.2026 0.2996 Zn
0.8850 0.8850 0.2114 As
0.8690 0.8690 0.6716 As
0.5434 0.5434 0.3174 P
```

## Properties
The calculation puts the spin magnetization at 0.00 μB per cell. The value obtained for the raw total energy is -3.686 eV/atom. For the energy relative to the elements, the calculation gives 309 meV/atom. The energy above the most stable polymorph in this dataset is 245 meV/atom.

***

Compound: ZnAs2P
Source: Alexandria via LeMat-Bulk
Functional: PBE
Structure: relaxed

POSCAR file:
```
ZnAs2P
1.0
1.8031 5.6205 0.1000
-1.8031 5.6205 0.1000
0.0000 1.3487 3.9143
Zn As P
1 2 1
direct
0.5000 0.5000 0.0000 Zn
0.6798 0.6798 0.2172 As
0.3202 0.3202 0.7828 As
0.0000 0.0000 0.5000 P
```

## Properties
The calculation puts the spin magnetization at 0.00 μB per cell. The value obtained for the raw total energy is -3.742 eV/atom. For the energy relative to the elements, the calculation gives 254 meV/atom. The energy above the most stable polymorph in this dataset is 190 meV/atom.

***

Compound: ZnAs2P
Source: Alexandria via LeMat-Bulk
Functional: PBE
Structure: relaxed

POSCAR file:
```
ZnAs2P
1.0
4.5544 0.0000 0.0000
0.0000 4.5544 0.0000
0.0000 0.0000 3.3188
Zn As P
1 2 1
direct
0.0000 0.0000 0.5000 Zn
0.5000 0.0000 0.0000 As
0.0000 0.5000 0.0000 As
0.5000 0.5000 0.5000 P
```

## Properties
The calculation puts the spin magnetization at 0.00 μB per cell. The value obtained for the raw total energy is -3.556 eV/atom. For the energy relative to the elements, the calculation gives 440 meV/atom. The energy above the most stable polymorph in this dataset is 375 meV/atom.

***

Compound: Zn3AsP
Source: Alexandria via LeMat-Bulk
Functional: PBE
Structure: relaxed

POSCAR file:
```
Zn3AsP
1.0
-3.8534 0.8192 -2.7018
-0.3489 -4.6746 -0.9197
-2.8017 -0.5445 3.8306
P As Zn
1 1 3
direct
0.5000 0.5000 0.5000 P
0.0000 0.0000 0.0000 As
0.0000 0.5000 0.0000 Zn
0.0000 0.0000 0.5000 Zn
0.5000 0.0000 0.0000 Zn
```

## Properties
The calculation puts the spin magnetization at 0.47 μB per cell. The value obtained for the raw total energy is -2.162 eV/atom. For the energy relative to the elements, the calculation gives 614 meV/atom. The energy above the most stable polymorph in this dataset is 698 meV/atom.

***

- Look up the raw total energy of the first one.
  -3.551 eV/atom